[1]
Computed, not measured: a relaxed Be2CoTc crystal at the PBE-GGA level of DFT.

## Properties
VASP energy	-6.286	eV/atom
symmetry	I-4m2
energy of formation	-0.055	eV per atom
E above lowest polymorph	51.5	kJ/mol of formula units

Cell: 4.372 4.372 4.372 Å, 134.75 134.75 65.92°
Positions (direct):
Be  0.250  0.750  0.500
Be  0.000  0.000  0.000
Tc  0.750  0.250  0.500
Co  0.500  0.500  0.000

[2]
Computed, not measured: a relaxed BeCoTc crystal at the PBE-GGA level of DFT.

## Properties
VASP energy	-7.120	eV/atom
symmetry	Cm
energy of formation	-0.054	eV per atom
E above lowest polymorph	53.1	kJ/mol of formula units

Cell: 2.631 5.674 4.788 Å, 74.93 105.96 103.41°
Positions (direct):
Co  0.158  0.149  0.289
Co  0.911  0.556  0.388
Tc  0.364  0.872  0.979
Tc  0.612  0.443  0.903
Be  0.621  0.833  0.530
Be  0.864  0.182  0.667

[3]
Computed, not measured: a relaxed Be16CoTc2 crystal at the PBE-GGA level of DFT.

## Properties
VASP energy	-4.807	eV/atom
symmetry	R3m
energy of formation	-0.204	eV per atom

Cell: 5.482 5.482 5.482 Å, 82.74 82.74 82.74°
Positions (direct):
Be  0.836  0.353  0.353
Be  0.999  0.999  0.504
Be  0.698  0.998  0.299
Be  0.650  0.157  0.650
Be  0.299  0.698  0.998
Be  0.698  0.299  0.998
Be  0.353  0.836  0.353
Be  0.998  0.698  0.299
Be  0.999  0.504  0.999
Be  0.650  0.650  0.157
Be  0.157  0.650  0.650
Be  0.299  0.998  0.698
Be  0.504  0.999  0.999
Be  0.106  0.106  0.106
Be  0.998  0.299  0.698
Be  0.353  0.353  0.836
Tc  0.662  0.662  0.662
Tc  0.332  0.332  0.332
Co  0.908  0.908  0.908

[4]
Computed, not measured: a relaxed Be2CoTc2 crystal at the PBE-GGA level of DFT.

## Properties
VASP energy	-7.231	eV/atom
symmetry	P4/mbm
energy of formation	-0.173	eV per atom

Cell: 5.828 5.828 3.184 Å, 90.00 90.00 90.00°
Last column: magnetic moment on the atom in μB.
Positions (direct):
Be  0.624  0.124  0.000  -0.01
Be  0.376  0.876  0.000  -0.01
Be  0.876  0.624  0.000  -0.01
Be  0.124  0.376  0.000  -0.01
Tc  0.824  0.324  0.500  0.05
Tc  0.176  0.676  0.500  0.05
Tc  0.324  0.176  0.500  0.04
Tc  0.676  0.824  0.500  0.04
Co  0.500  0.500  0.000  0.75
Co  0.000  0.000  0.000  0.76

[5]
Computed, not measured: a relaxed BeCoTc crystal at the PBE-GGA level of DFT.

## Properties
VASP energy	-7.180	eV/atom
symmetry	Ima2
energy of formation	-0.114	eV per atom
E above lowest polymorph	35.6	kJ/mol of formula units

Cell: 4.378 4.433 4.433 Å, 74.94 119.59 119.60°
Last column: magnetic moment on the atom in μB.
Positions (direct):
Co  0.783  0.435  0.583  0.84
Co  0.614  0.766  0.914  0.86
Tc  0.298  0.761  0.286  0.23
Tc  0.099  0.063  0.588  0.23
Be  0.199  0.273  0.076  -0.02
Be  0.698  0.273  0.076  -0.02

[6]
Computed, not measured: a relaxed BeCoTc crystal at the PBE-GGA level of DFT.

## Properties
VASP energy	-7.084	eV/atom
symmetry	Pmm2
energy of formation	-0.018	eV per atom
E above lowest polymorph	63.6	kJ/mol of formula units

Cell: 2.631 6.764 3.760 Å, 89.99 90.00 90.00°
Positions (direct):
Co  0.010  0.916  0.370
Co  0.511  0.616  0.370
Be  0.510  0.433  0.870
Be  0.011  0.715  0.870
Tc  0.510  0.066  0.871
Tc  0.010  0.288  0.370

[7]
Computed, not measured: a relaxed BeCoTc3 crystal at the PBE-GGA level of DFT.

## Properties
VASP energy	-7.619	eV/atom
symmetry	Pm-3m
energy of formation	0.767	eV per atom
E above lowest polymorph	0.0	kJ/mol of formula units

Cell: 4.061 4.061 4.061 Å, 90.00 90.00 90.00°
Positions (direct):
Be  0.000  0.000  0.000
Tc  0.500  0.000  0.000
Tc  0.000  0.000  0.500
Tc  0.000  0.500  0.000
Co  0.500  0.500  0.500

[8]
Computed, not measured: a relaxed BeCoTc crystal at the PBE-GGA level of DFT.

## Properties
VASP energy	-6.957	eV/atom
symmetry	P3m1
energy of formation	0.109	eV per atom
E above lowest polymorph	100.3	kJ/mol of formula units

Cell: 2.618 2.618 5.905 Å, 90.00 90.00 120.00°
Last column: magnetic moment on the atom in μB.
Positions (direct):
Be  0.000  0.000  0.014  -0.01
Co  0.667  0.333  0.318  1.27
Tc  0.333  0.667  0.668  0.17

[9]
Computed, not measured: a relaxed BeCoTc crystal at the PBE-GGA level of DFT.

## Properties
VASP energy	-7.127	eV/atom
symmetry	Imma
energy of formation	-0.061	eV per atom
E above lowest polymorph	51.2	kJ/mol of formula units

Cell: 4.081 4.848 6.758 Å, 90.00 90.00 90.00°
Positions (direct):
Be  0.500  0.750  0.830
Be  0.000  0.250  0.330
Be  0.500  0.250  0.170
Be  0.000  0.750  0.670
Tc  0.500  0.000  0.500
Tc  0.500  0.500  0.500
Tc  0.000  0.000  0.000
Tc  0.000  0.500  0.000
Co  0.000  0.750  0.338
Co  0.500  0.250  0.838
Co  0.500  0.750  0.162
Co  0.000  0.250  0.662

[10]
Computed, not measured: a relaxed BeCoTc crystal at the PBE-GGA level of DFT.

## Properties
VASP energy	-7.096	eV/atom
symmetry	Cm
energy of formation	-0.030	eV per atom
E above lowest polymorph	60.1	kJ/mol of formula units

Cell: 5.694 2.747 8.899 Å, 90.00 106.84 90.00°
Last column: magnetic moment on the atom in μB.
Positions (direct):
Be  0.185  0.500  0.684  -0.01
Be  0.910  0.000  0.498  -0.02
Be  0.185  0.000  0.184  -0.01
Be  0.910  0.500  0.998  -0.02
Co  0.036  0.000  0.840  0.62
Co  0.036  0.500  0.340  0.62
Co  0.754  0.500  0.643  0.82
Co  0.754  0.000  0.143  0.82
Tc  0.377  0.500  0.010  0.13
Tc  0.377  0.000  0.510  0.13
Tc  0.562  0.500  0.321  -0.04
Tc  0.562  0.000  0.821  -0.04

[11]
Computed, not measured: a relaxed BeCoTc crystal at the PBE-GGA level of DFT.

## Properties
VASP energy	-7.117	eV/atom
symmetry	P6_3/mmc
energy of formation	-0.051	eV per atom
E above lowest polymorph	54.0	kJ/mol of formula units

Cell: 6.890 4.859 3.981 Å, 90.00 90.00 90.00°
Positions (direct):
Co  0.667  0.750  0.000
Co  0.833  0.250  0.500
Co  0.167  0.750  0.500
Co  0.333  0.250  0.000
Tc  0.500  0.500  0.500
Tc  0.000  0.000  0.000
Tc  0.500  0.000  0.500
Tc  0.000  0.500  0.000
Be  0.167  0.250  0.500
Be  0.667  0.250  0.000
Be  0.333  0.750  0.000
Be  0.833  0.750  0.500

[12]
Computed, not measured: a relaxed Be2CoTc crystal at the PBE-GGA level of DFT.

## Properties
VASP energy	-6.405	eV/atom
symmetry	P4mm
energy of formation	-0.174	eV per atom
E above lowest polymorph	5.4	kJ/mol of formula units

Cell: 2.649 2.649 5.745 Å, 90.00 90.00 90.00°
Last column: magnetic moment on the atom in μB.
Positions (direct):
Tc  0.500  0.500  0.759  0.01
Be  0.500  0.500  0.241  0.00
Be  0.000  0.000  0.042  0.00
Co  0.000  0.000  0.458  0.05

[13]
Computed, not measured: a relaxed Be4CoTc crystal at the PBE-GGA level of DFT.

## Properties
VASP energy	-5.644	eV/atom
symmetry	F-43m
energy of formation	-0.248	eV per atom

Cell: 4.266 4.266 4.266 Å, 60.00 60.00 60.00°
Last column: magnetic moment on the atom in μB.
Positions (direct):
Be  0.626  0.626  0.122  -0.01
Be  0.626  0.122  0.626  -0.01
Be  0.626  0.626  0.626  -0.01
Be  0.122  0.626  0.626  -0.01
Tc  0.000  0.000  0.000  0.46
Co  0.250  0.250  0.250  0.93

[14]
Computed, not measured: a relaxed BeCoTc crystal at the PBE-GGA level of DFT.

## Properties
VASP energy	-7.163	eV/atom
symmetry	Pmm2
energy of formation	-0.097	eV per atom
E above lowest polymorph	40.7	kJ/mol of formula units

Cell: 2.663 7.483 3.820 Å, 120.70 90.00 89.99°
Positions (direct):
Co  0.218  0.692  0.729
Co  0.218  0.920  0.457
Be  0.718  0.634  0.171
Be  0.718  0.427  0.464
Tc  0.718  0.056  0.093
Tc  0.218  0.306  0.843

[15]
Computed, not measured: a relaxed BeCoTc crystal at the PBE-GGA level of DFT.

## Properties
VASP energy	-7.112	eV/atom
symmetry	C2
energy of formation	-0.046	eV per atom
E above lowest polymorph	55.3	kJ/mol of formula units

Cell: 4.289 5.190 4.287 Å, 81.57 117.27 126.48°
Positions (direct):
Co  0.745  0.950  0.011
Co  0.518  0.073  0.363
Be  0.809  0.561  0.155
Be  0.050  0.463  0.815
Tc  0.401  0.512  0.456
Tc  0.167  0.012  0.723

[16]
Computed, not measured: a relaxed BeCoTc crystal at the PBE-GGA level of DFT.

## Properties
VASP energy	-7.167	eV/atom
symmetry	Cm
energy of formation	-0.101	eV per atom
E above lowest polymorph	39.4	kJ/mol of formula units

Cell: 2.655 6.260 4.049 Å, 89.75 90.00 77.78°
Positions (direct):
Co  0.581  0.445  0.037
Co  0.710  0.187  0.540
Tc  0.033  0.543  0.536
Tc  0.898  0.813  0.034
Be  0.229  0.151  0.041
Be  0.357  0.895  0.533

[17]
Computed, not measured: a relaxed BeCoTc crystal at the PBE-GGA level of DFT.

## Properties
VASP energy	-6.859	eV/atom
symmetry	P4/nmm
energy of formation	0.207	eV per atom
E above lowest polymorph	128.5	kJ/mol of formula units

Cell: 3.469 3.469 5.964 Å, 90.00 90.00 90.00°
Positions (direct):
Be  0.000  0.500  0.811
Be  0.500  0.000  0.189
Tc  0.500  0.500  0.500
Tc  0.000  0.000  0.500
Co  0.000  0.500  0.169
Co  0.500  0.000  0.831

[18]
Computed, not measured: a relaxed BeCo2Tc2 crystal at the PBE-GGA level of DFT.

## Properties
VASP energy	-7.424	eV/atom
symmetry	P4/mbm
energy of formation	0.310	eV per atom
E above lowest polymorph	0.0	kJ/mol of formula units

Cell: 6.992 6.992 2.604 Å, 90.00 90.00 90.00°
Positions (direct):
Co  0.118  0.382  0.000
Co  0.618  0.118  0.000
Co  0.882  0.618  0.000
Co  0.382  0.882  0.000
Tc  0.322  0.178  0.500
Tc  0.678  0.822  0.500
Tc  0.178  0.678  0.500
Tc  0.822  0.322  0.500
Be  0.000  0.000  0.000
Be  0.500  0.500  0.000

[19]
Computed, not measured: a relaxed BeCoTc crystal at the PBE-GGA level of DFT.

## Properties
VASP energy	-7.088	eV/atom
symmetry	Pm
energy of formation	-0.022	eV per atom
E above lowest polymorph	62.2	kJ/mol of formula units

Cell: 2.623 6.463 4.133 Å, 71.72 90.00 90.00°
Positions (direct):
Be  0.885  0.212  0.689
Be  0.884  0.825  0.382
Tc  0.885  0.466  0.062
Tc  0.384  0.863  0.864
Co  0.385  0.128  0.233
Co  0.384  0.540  0.525

[20]
Computed, not measured: a relaxed Be2CoTc crystal at the PBE-GGA level of DFT.

## Properties
VASP energy	-6.419	eV/atom
symmetry	P4/mmm
energy of formation	-0.188	eV per atom
E above lowest polymorph	0.0	kJ/mol of formula units

Cell: 2.657 2.658 5.651 Å, 90.00 90.00 90.00°
Positions (direct):
Tc  0.500  0.500  0.750
Be  0.000  0.000  0.458
Be  0.000  0.000  0.042
Co  0.500  0.500  0.250